Compound: EuNpPt2
Source: Alexandria via LeMat-Bulk
Functional: PBE-GGA
Structure: optimized geometry

```
EuNpPt2
1.0
3.510 0.000 0.000
0.000 3.510 0.000
0.000 0.000 7.301
Np Eu Pt
1 1 2
direct
0.500 0.500 0.000
0.500 0.500 0.500
0.000 0.000 0.777
0.000 0.000 0.223
```

Output
Energy of formation from the pure elements (meV/atom): -666
Space group: P4/mmm (123)
Total DFT energy (no corrections) (eV per atom): -9.490